Below is an optimized crystal structure of Pm3Te2, with properties calculated at the GGA-PBE level.

Computed properties:
Energy relative to the elements, uncorrected: -4.70 eV/f.u.
DOS(E_F): 11.4 states/eV/cell
Energy above the lowest structure with this stoichiometry: 0.2030 eV/atom

Cell and atoms, written as extended XYZ:
```
10
Lattice="-2.7604 -0.1395 7.0398 0.3093 -6.3750 4.0574 5.5754 -0.2417 6.2439" Properties=species:S:1:pos:R:3 pbc="T T T"
Te 0.6659 -5.5735 12.3381
Te 4.6792 -2.4371 9.9115
Te 2.4583 -1.1827 5.0030
Te -1.5550 -4.3191 7.4296
Pm 4.1918 -4.9737 8.2916
Pm 2.2411 -2.9612 11.6655
Pm 3.0480 -0.7520 7.9632
Pm 0.8832 -3.7950 5.6756
Pm 0.0763 -6.0042 9.3779
Pm -1.0675 -1.7825 9.0495
```